Tb2Pm3Sm6Th | PBE | relaxed

Calculated values
energy of formation	25	meV/atom
magnetization	0.000	μB per atom

a b c (Å): 6.2629 6.2629 12.0301
angles (deg): 94.98 94.98 119.90
Closest atoms and distances in Å follow each position.
Fractional positions:
Sm  0.2470  0.2470  0.7530  6 Sm 3.58-3.64, 1 Th 3.58, 2 Tb 3.60, 3 Pm 3.65-3.67
Sm  0.5875  0.9173  0.7532  6 Sm 3.58-3.64, 1 Th 3.58, 2 Tb 3.60, 3 Pm 3.65-3.67
Sm  0.7530  0.7530  0.2470  6 Sm 3.58-3.64, 1 Th 3.58, 2 Tb 3.60, 3 Pm 3.65-3.67
Sm  0.9173  0.5875  0.7532  6 Sm 3.58-3.64, 1 Th 3.58, 2 Tb 3.60, 3 Pm 3.65-3.67
Sm  0.0827  0.4125  0.2468  6 Sm 3.58-3.64, 1 Th 3.58, 2 Tb 3.60, 3 Pm 3.65-3.67
Sm  0.4125  0.0827  0.2468  6 Sm 3.58-3.64, 1 Th 3.58, 2 Tb 3.60, 3 Pm 3.65-3.67
Pm  0.8331  0.1669  0.5000  6 Pm 3.61-3.62, 6 Sm 3.65-3.67
Pm  0.1669  0.8331  0.5000  6 Pm 3.61-3.62, 6 Sm 3.65-3.67
Pm  0.5000  0.5000  0.5000  6 Pm 3.61-3.62, 6 Sm 3.65-3.67
Tb  0.6665  0.3335  0.0000  6 Sm 3.60, 3 Tb 3.61-3.62, 3 Th 3.62
Tb  0.3335  0.6665  0.0000  6 Sm 3.60, 3 Tb 3.61-3.62, 3 Th 3.62
Th  0.0000  0.0000  0.0000  6 Sm 3.58, 6 Tb 3.62